(1)
A relaxed SmTePd2 crystal. Source: Alexandria, functional PBE.

ΔE_f (raw), eV/atom: -0.721
Crystal system: cubic

Cell: 6.960 6.960 6.960 Å, 90.00 90.00 90.00°
Space group Fm-3m (No. 225)
Asymmetric unit:
Sm  0.000  0.000  0.000 [4 per cell]
Te  0.000  0.000  0.500 [4 per cell]
Pd  0.250  0.250  0.250 [8 per cell]

***

(2)
A relaxed PmTmTeSe crystal. Source: Alexandria, functional PBE.

ΔE_f (raw), eV/atom: -1.545
Crystal system: trigonal

Cell: 4.0964 4.0964 22.3618 Å, 90.00 90.00 120.00°
Space group R3m (No. 160, hexagonal axes)
Asymmetric unit:
Pm  0.0000  0.0000  0.0000 [3 per cell]
Tm  0.0000  0.0000  0.1866 [3 per cell]
Te  0.0000  0.0000  0.4295 [3 per cell]
Se  0.0000  0.0000  0.5903 [3 per cell]

***

(3)
A relaxed ZnFe2Sn2 crystal. Source: Alexandria, functional PBE.

Energy of formation, eV per atom: 0.17
Crystal system: tetragonal

Cell: 6.592 6.592 3.718 Å, 90.00 90.00 90.00°
Space group P4/mbm (No. 127)
Asymmetric unit:
Zn  0.000  0.000  0.000 [2 per cell]
Fe  0.138  0.362  0.000 [4 per cell]
Sn  0.164  0.664  0.500 [4 per cell]

***

(4)
A relaxed HgSbHI2 crystal. Source: Alexandria, functional PBE.

Energy relative to the lowest polymorph listed for this composition, meV per atom: 472
Crystal system: tetragonal

Cell: 6.090 6.090 5.608 Å, 90.00 90.00 90.00°
Space group P4/mmm (No. 123)
Asymmetric unit:
Hg  0.000  0.000  0.000 [1 per cell]
Sb  0.000  0.000  0.500 [1 per cell]
H  0.500  0.500  0.500 [1 per cell]
I  0.000  0.500  0.000 [2 per cell]

***

(5)
A relaxed LiDyLuMg crystal. Source: Alexandria, functional PBE.

Energy of formation, eV per atom: 0.06
Crystal system: cubic

Cell: 7.452 7.452 7.452 Å, 90.00 90.00 90.00°
Space group F-43m (No. 216)
Asymmetric unit:
Li  0.000  0.000  0.000 [4 per cell]
Dy  0.250  0.250  0.750 [4 per cell]
Lu  0.250  0.250  0.250 [4 per cell]
Mg  0.000  0.000  0.500 [4 per cell]

***

(6)
A relaxed CeSn2I8 crystal. Source: Alexandria, functional PBE.

ΔE_f (raw), eV/atom: -0.739
Crystal system: monoclinic

Cell: 15.313 8.376 8.459 Å, 90.00 90.16 90.00°
Space group C2/m (No. 12)
Asymmetric unit:
Ce  0.000  0.000  0.000 [2 per cell]
Sn  0.130  0.000  0.488 [4 per cell]
I  0.054  0.248  0.247 [8 per cell]
I  0.183  0.000  0.868 [4 per cell]
I  0.197  0.500  0.621 [4 per cell]

***

- What is the formula in the fifth record?
  LiDyLuMg

***

- What is the formula in the first record?
  SmTePd2